[1]
The following is a DFT calculation (PBE-GGA) of an optimized crystal structure of Ba6HgAu2I3.

Results
The energy relative to the elements, uncorrected comes out at -1013 meV/atom.

Cell lengths 8.298, 14.374, 9.327 Å; angles 90.00, 107.27, 90.00 degrees
Space group C2/m (No. 12)
Symmetry-distinct sites (fractional):
Ba1 0.227 0.000 0.212
Ba2 0.242 0.328 0.212
Hg1 0.000 0.500 0.000
Au1 0.000 0.167 0.000
I1 0.000 0.000 0.500
I2 0.000 0.335 0.500

=====

[2]
The following is a DFT calculation (PBE-GGA) of an optimized crystal structure of Ba8HgAu3I4.

Results
The energy relative to the elements, uncorrected comes out at -1027 meV/atom.

Cell lengths 9.5688, 9.5688, 26.6641 Å; angles 90.00, 90.00, 120.00 degrees
Space group R-3m (No. 166, hexagonal axes)
Symmetry-distinct sites (fractional):
Ba1 0.0000 0.0000 0.2361
Ba2 0.0063 0.5032 0.7630
Hg1 0.0000 0.0000 0.5000
Au1 0.0000 0.5000 0.5000
I1 0.0000 0.0000 0.0000
I2 0.0000 0.5000 0.0000

=====

[3]
The following is a DFT calculation (PBE-GGA) of an optimized crystal structure of Ba2In4HgAu3.

Results
The calculation puts the formation energy at -0.502 eV per atom.

Cell lengths 4.910, 4.910, 11.486 Å; angles 90.00, 90.00, 90.00 degrees
Space group P-4m2 (No. 115)
Symmetry-distinct sites (fractional):
Ba1 0.000 0.500 0.249
In1 0.000 0.000 0.500
In2 0.000 0.500 0.868
In3 0.500 0.500 0.500
Hg1 0.500 0.500 0.000
Au1 0.000 0.000 0.000
Au2 0.000 0.500 0.627

=====

[4]
The following is a DFT calculation (PBE-GGA) of an optimized crystal structure of Ba3In2Hg4Au2.

Results
The calculation puts the formation energy at -0.446 eV per atom.

Cell lengths 5.0444, 5.0444, 16.0505 Å; angles 90.00, 90.00, 120.00 degrees
Space group P-3m1 (No. 164)
Symmetry-distinct sites (fractional):
Ba1 0.0000 0.0000 0.0000
Ba2 0.0000 0.0000 0.2613
In1 0.3333 0.6667 0.5702
Hg1 0.3333 0.6667 0.3863
Hg2 0.3333 0.6667 0.8696
Au1 0.3333 0.6667 0.1289

=====

[5]
The following is a DFT calculation (PBE-GGA) of an optimized crystal structure of BaInHg2Au.

Results
The calculation puts the formation energy at -0.428 eV per atom.

Cell lengths 4.592, 4.852, 12.855 Å; angles 90.00, 90.00, 90.00 degrees
Space group Imm2 (No. 44)
Symmetry-distinct sites (fractional):
Ba1 0.000 0.000 0.000
In1 0.000 0.500 0.759
Hg1 0.000 0.000 0.614
Hg2 0.000 0.500 0.266
Au1 0.000 0.000 0.394

=====

[6]
The following is a DFT calculation (PBE-GGA) of an optimized crystal structure of BaIn2HgAu4.

Results
The calculation puts the formation energy at -0.305 eV per atom.

Cell lengths 4.6889, 4.6889, 31.3435 Å; angles 90.00, 90.00, 120.00 degrees
Space group R-3m (No. 166, hexagonal axes)
Symmetry-distinct sites (fractional):
Ba1 0.0000 0.0000 0.0000
In1 0.0000 0.0000 0.2399
Hg1 0.0000 0.0000 0.5000
Au1 0.0000 0.0000 0.1293
Au2 0.0000 0.0000 0.3987

=====

[7]
The following is a DFT calculation (PBE-GGA) of an optimized crystal structure of Ba2InHg3Au4.

Results
The calculation puts the formation energy at -0.447 eV per atom.

Cell lengths 4.811, 4.811, 11.915 Å; angles 90.00, 90.00, 90.00 degrees
Space group P-4m2 (No. 115)
Symmetry-distinct sites (fractional):
Ba1 0.000 0.500 0.238
In1 0.000 0.000 0.500
Hg1 0.000 0.500 0.869
Hg2 0.500 0.500 0.500
Au1 0.000 0.000 0.000
Au2 0.000 0.500 0.634
Au3 0.500 0.500 0.000

=====

[8]
The following is a DFT calculation (PBE-GGA) of an optimized crystal structure of Ba2In4Hg3Au.

Results
The calculation puts the formation energy at -0.399 eV per atom.

Cell lengths 4.936, 4.936, 12.108 Å; angles 90.00, 90.00, 90.00 degrees
Space group P-4m2 (No. 115)
Symmetry-distinct sites (fractional):
Ba1 0.000 0.500 0.239
In1 0.000 0.000 0.500
In2 0.000 0.500 0.879
In3 0.500 0.500 0.500
Hg1 0.000 0.000 0.000
Hg2 0.000 0.500 0.642
Au1 0.500 0.500 0.000

=====

[9]
The following is a DFT calculation (PBE-GGA) of an optimized crystal structure of Ba2In3HgAu4.

Results
The calculation puts the formation energy at -0.515 eV per atom.

Cell lengths 5.067, 5.067, 10.722 Å; angles 90.00, 90.00, 90.00 degrees
Space group P-4m2 (No. 115)
Symmetry-distinct sites (fractional):
Ba1 0.000 0.500 0.247
In1 0.000 0.500 0.885
In2 0.500 0.500 0.500
Hg1 0.000 0.000 0.500
Au1 0.000 0.000 0.000
Au2 0.000 0.500 0.629
Au3 0.500 0.500 0.000

=====

[10]
The following is a DFT calculation (PBE-GGA) of an optimized crystal structure of BaInHg2Au4.

Results
The calculation puts the formation energy at -0.285 eV per atom.

Cell lengths 4.9885, 4.9885, 29.0707 Å; angles 90.00, 90.00, 120.00 degrees
Space group R-3m (No. 166, hexagonal axes)
Symmetry-distinct sites (fractional):
Ba1 0.0000 0.0000 0.0000
In1 0.0000 0.0000 0.5000
Hg1 0.0000 0.0000 0.2617
Au1 0.0000 0.0000 0.1610
Au2 0.0000 0.0000 0.3992

=====

What are the DOS(E_F) values for these records? In order: 14.1, 23.2, 4.8, 8.5, 5.7, 10.1, 4.0, 5.9, 6.4, 6.7 states/eV per cell.